! PBE ThSnHg, relaxed; values from VASP
&SYSTEM
  ibrav = 0, nat = 3, ntyp = 3
/
ATOMIC_SPECIES
Hg 200.59 Hg.upf
Th 232.04 Th.upf
Sn 118.71 Sn.upf
ATOMIC_POSITIONS crystal
Hg 0.283 0.283 0.565
Th 0.611 0.611 0.223
Sn 0.956 0.956 0.912
CELL_PARAMETERS angstrom
-2.573 -2.678 -2.052
-0.821 -2.007 3.647
-1.947 5.246 -0.019
! DOS at the Fermi energy: 0.71 states/eV per atom
! ΔH_f (0 K): -0.191 eV/atom
! ρ: 10.8 g/cm³
! Raw total energy: -4.10 eV/atom
! Space-group type: I4mm, No. 107